Entry 1:
## Ba2La3Ti2Nb2O15 (SCAN)

Data for a PBEsol-optimized structure of Ba2La3Ti2Nb2O15.

Results
Mass density, g/cm³: 6.32
Formation energy (no corrections), eV/f.u.: -81.52

Structure (CIF):
```
data_Ba2La3Ti2Nb2O15
_cell_length_a 5.6603
_cell_length_b 5.6603
_cell_length_c 22.9536
_cell_angle_alpha 90.00
_cell_angle_beta 90.00
_cell_angle_gamma 120.00
_space_group_name_H-M_alt 'P -3 c 1'
_space_group_IT_number 165
_space_group_name_Hall '-P 3 2"c'
loop_
_atom_site_label
_atom_site_type_symbol
_atom_site_fract_x
_atom_site_fract_y
_atom_site_fract_z
_atom_site_occupancy
Ba1 Ba 0.3333 0.6667 0.0369 1
La1 La 0.0000 0.0000 0.2500 1
La2 La 0.3333 0.6667 0.3552 1
Ti1 Ti 0.3333 0.6667 0.2034 1
Nb1 Nb 0.0000 0.0000 0.0982 1
O1 O 0.0000 0.4385 0.2500 1
O2 O 0.0981 0.3254 0.6582 1
O3 O 0.1330 0.3424 0.4392 1
```

=====

Entry 2:
## BaLaNiRuO6 (SCAN)

Data for a PBEsol-optimized structure of BaLaNiRuO6.

Results
Mass density, g/cm³: 7.24
Formation energy (no corrections), eV/f.u.: -23.13

Structure (CIF):
```
data_BaLaNiRuO6
_cell_length_a 5.5334
_cell_length_b 5.5334
_cell_length_c 7.9715
_cell_angle_alpha 90.00
_cell_angle_beta 90.00
_cell_angle_gamma 90.00
_space_group_name_H-M_alt 'I -4'
_space_group_IT_number 82
_space_group_name_Hall 'I -4'
loop_
_atom_site_label
_atom_site_type_symbol
_atom_site_fract_x
_atom_site_fract_y
_atom_site_fract_z
_atom_site_occupancy
Ba1 Ba 0.0000 0.0000 0.0000 1
La1 La 0.0000 0.0000 0.5000 1
Ni1 Ni 0.0000 0.5000 0.7500 1
Ru1 Ru 0.0000 0.5000 0.2500 1
O1 O 0.0000 0.5000 0.0039 1
O2 O 0.2058 0.2113 0.2664 1
```

=====

Entry 3:
## BaLa2PtO5 (SCAN)

Data for a PBEsol-optimized structure of BaLa2PtO5.

Results
Mass density, g/cm³: 8.28
Formation energy (no corrections), eV/f.u.: -26.48

Structure (CIF):
```
data_BaLa2PtO5
_cell_length_a 6.8499
_cell_length_b 6.8499
_cell_length_c 5.8992
_cell_angle_alpha 90.00
_cell_angle_beta 90.00
_cell_angle_gamma 90.00
_space_group_name_H-M_alt 'P 4/m b m'
_space_group_IT_number 127
_space_group_name_Hall '-P 4 2ab'
loop_
_atom_site_label
_atom_site_type_symbol
_atom_site_fract_x
_atom_site_fract_y
_atom_site_fract_z
_atom_site_occupancy
Ba1 Ba 0.0000 0.0000 0.0000 1
La1 La 0.1752 0.3248 0.5000 1
Pt1 Pt 0.0000 0.5000 0.0000 1
O1 O 0.0000 0.0000 0.5000 1
O2 O 0.1419 0.6419 0.2469 1
```

=====

- What is the formation energy (no corrections) in the third record?
  -26.48 eV/f.u.

=====

- Which value of formation energy (no corrections) does entry 2 give?
  -23.13 eV/f.u.

=====

- Number 2 is which compound?
  BaLaNiRuO6

=====

- Among the records above, which one has the lowest formation energy (no corrections)?
  Ba2La3Ti2Nb2O15